Here is a relaxed structure of CdInAu2 from Alexandria. Energies are from PBE.

Results
- E_tot (eV/atom) = -2.6653
- D(E_F) (states/eV per atom) = 0.220
- formation enthalpy at 0 K (eV per atom) = -0.113
- volume (Å³/f.u.) = 92.8

Unit cell a=4.0714 b=4.0714 c=19.3959 alpha=90.00 beta=90.00 gamma=120.00
Closest atoms and distances in Å follow each position.
Space group R3m (No. 160, hexagonal axes)
Symmetry-distinct sites (fractional):
Cd 0.0000 0.0000 0.0000 x3  6 Au 2.83-2.87
In 0.0000 0.0000 0.1704 x3  6 Au 2.83-2.88
Au 0.0000 0.0000 0.5853 x3  3 Cd 2.83, 3 In 2.83
Au 0.0000 0.0000 0.7517 x3  3 Cd 2.87, 3 In 2.88